Record 1
A plane-wave DFT calculation with PBE was carried out for a geometry-optimized Pm2DyPb structure.

Lattice parameters (Å, degrees): 11.389 11.389 11.389 18.46 18.46 18.46
Element x y z (fractional)
Pm (0.000, 0.000, 0.000)
Pm (0.172, 0.172, 0.172)
Dy (0.753, 0.753, 0.753)
Pb (0.586, 0.586, 0.586)

Summary:
M_tot in μB/atom: 0.0154
Density in g/cm3: 8.5
E_form in eV/atom: -0.152
N(E_F) in states/eV per atom: 1.146
Final energy in eV/atom: -4.605


Record 2
A plane-wave DFT calculation with PBE was carried out for a geometry-optimized Pm3DyPb structure.

Lattice parameters (Å, degrees): 8.967 8.737 9.853 90.00 121.32 90.00
Element x y z (fractional)
Pm (0.090, 0.087, 0.298)
Pm (0.090, 0.413, 0.798)
Pm (0.303, 0.064, 0.709)
Pm (0.303, 0.436, 0.209)
Pm (0.410, 0.700, 0.948)
Pm (0.410, 0.800, 0.448)
Pm (0.590, 0.200, 0.552)
Pm (0.590, 0.300, 0.052)
Pm (0.697, 0.564, 0.791)
Pm (0.697, 0.936, 0.291)
Pm (0.910, 0.587, 0.202)
Pm (0.910, 0.913, 0.702)
Dy (0.264, 0.065, 0.045)
Dy (0.264, 0.435, 0.545)
Dy (0.736, 0.565, 0.455)
Dy (0.736, 0.935, 0.955)
Pb (0.098, 0.748, 0.042)
Pb (0.098, 0.752, 0.542)
Pb (0.902, 0.248, 0.458)
Pb (0.902, 0.252, 0.958)

Summary:
M_tot in μB/atom: 0.0000
Density in g/cm3: 8.1
E_form in eV/atom: -0.168
N(E_F) in states/eV per atom: 1.054
Final energy in eV/atom: -4.680


Record 3
A plane-wave DFT calculation with PBE was carried out for a geometry-optimized Pm2Dy2Pb structure.

Lattice parameters (Å, degrees): 9.194 9.194 9.194 152.18 152.18 39.75
Element x y z (fractional)
Pm (0.088, 0.088, 0.000)
Pm (0.912, 0.912, 0.000)
Dy (0.250, 0.750, 0.500)
Dy (0.750, 0.250, 0.500)
Pb (0.500, 0.500, 0.000)

Summary:
M_tot in μB/atom: 0.0000
Density in g/cm3: 8.1
E_form in eV/atom: 0.182
N(E_F) in states/eV per atom: 1.142
Final energy in eV/atom: -4.300


Which of these has the lowest N(E_F)?
Pm3DyPb


final energy of number 3 (Pm2Dy2Pb)?
-4.300 eV/atom


Which value of N(E_F) does entry 1 give?
1.146 states/eV per atom


Please write out number 1 again, unchanged.
A plane-wave DFT calculation with PBE was carried out for a geometry-optimized Pm2DyPb structure.

Lattice parameters (Å, degrees): 11.389 11.389 11.389 18.46 18.46 18.46
Element x y z (fractional)
Pm (0.000, 0.000, 0.000)
Pm (0.172, 0.172, 0.172)
Dy (0.753, 0.753, 0.753)
Pb (0.586, 0.586, 0.586)

Summary:
M_tot in μB/atom: 0.0154
Density in g/cm3: 8.5
E_form in eV/atom: -0.152
N(E_F) in states/eV per atom: 1.146
Final energy in eV/atom: -4.605